Record 1
First-principles (GGA-PBE) data for crystalline MnAgPd3 at its relaxed geometry, as listed in Alexandria via LeMat-Bulk.

Geometry as POSCAR:
```
MnAgPd3
1.0
-4.069 -0.987 -1.829
1.731 -4.304 -1.527
-2.878 -0.824 6.846
Ag Pd Mn
2 6 2
Direct
0.195 0.844 0.879 Ag
0.695 0.578 0.675 Ag
0.695 0.378 0.278 Pd
0.695 0.779 0.083 Pd
0.195 0.044 0.276 Pd
0.695 0.184 0.879 Pd
0.195 0.238 0.675 Pd
0.195 0.643 0.471 Pd
0.695 0.974 0.470 Mn
0.195 0.447 0.084 Mn
```

The value obtained for the volume is 15.76 A^3/atom. Its space-group type is P2_1/m (11). The formation energy from the elements is -129 meV/atom. The value obtained for the energy relative to the lowest polymorph listed for this composition is 0 meV per atom.



Record 2
First-principles (GGA-PBE) data for crystalline MnAgPd3 at its relaxed geometry, as listed in Alexandria via LeMat-Bulk.

Geometry as POSCAR:
```
MnAgPd3
1.0
-2.874 -1.323 -3.398
2.550 -3.821 -0.669
-2.606 -2.281 3.092
Pd Ag Mn
3 1 1
Direct
0.000 0.500 0.000 Pd
0.500 0.000 0.000 Pd
0.000 0.000 0.500 Pd
0.500 0.500 0.500 Ag
0.000 0.000 0.000 Mn
```

The value obtained for the volume is 20.01 A^3/atom. Its space-group type is Pm-3m (221). The formation energy from the elements is 668 meV/atom. The value obtained for the energy relative to the lowest polymorph listed for this composition is 797 meV per atom.



Record 3
First-principles (GGA-PBE) data for crystalline MnAgPd6 at its relaxed geometry, as listed in Alexandria via LeMat-Bulk.

Geometry as POSCAR:
```
MnAgPd6
1.0
-1.746 -3.176 -1.587
3.102 -0.504 -2.403
3.461 -4.619 5.437
Pd Mn Ag
6 1 1
Direct
0.500 0.000 0.258 Pd
0.500 0.000 0.742 Pd
0.000 0.500 0.742 Pd
0.000 0.500 0.258 Pd
0.500 0.500 0.500 Pd
0.500 0.500 0.000 Pd
0.000 0.000 0.500 Mn
0.000 0.000 0.000 Ag
```

The value obtained for the volume is 15.52 A^3/atom. Its space-group type is P4/mmm (123). The formation energy from the elements is -118 meV/atom. The value obtained for the energy relative to the lowest polymorph listed for this composition is 0 meV per atom.



Record 4
First-principles (GGA-PBE) data for crystalline Mn2AgPd8 at its relaxed geometry, as listed in Alexandria via LeMat-Bulk.

Geometry as POSCAR:
```
Mn2AgPd8
1.0
-3.972 -1.158 -0.505
1.556 -2.599 -6.275
2.444 -3.459 5.907
Pd Mn Ag
8 2 1
Direct
0.000 0.696 0.000 Pd
0.657 0.441 0.314 Pd
0.000 0.304 0.000 Pd
0.343 0.559 0.686 Pd
0.343 0.127 0.686 Pd
0.153 0.153 0.307 Pd
0.847 0.847 0.693 Pd
0.657 0.873 0.314 Pd
0.804 0.304 0.608 Mn
0.196 0.696 0.392 Mn
0.500 0.000 0.000 Ag
```

The value obtained for the volume is 15.92 A^3/atom. Its space-group type is Immm (71). The formation energy from the elements is -66 meV/atom.



Record 5
First-principles (GGA-PBE) data for crystalline MnAg3Pd12 at its relaxed geometry, as listed in Alexandria via LeMat-Bulk.

Geometry as POSCAR:
```
MnAg3Pd12
1.0
3.978 0.000 0.000
0.000 3.978 0.000
0.000 0.000 15.890
Pd Ag Mn
12 3 1
Direct
0.500 0.500 0.247 Pd
0.500 0.000 0.880 Pd
0.000 0.500 0.374 Pd
0.500 0.500 0.500 Pd
0.500 0.000 0.374 Pd
0.000 0.500 0.120 Pd
0.500 0.000 0.120 Pd
0.000 0.500 0.880 Pd
0.500 0.500 0.753 Pd
0.500 0.000 0.626 Pd
0.000 0.500 0.626 Pd
0.500 0.500 0.000 Pd
0.000 0.000 0.500 Ag
0.000 0.000 0.753 Ag
0.000 0.000 0.247 Ag
0.000 0.000 0.000 Mn
```

The value obtained for the volume is 15.71 A^3/atom. Its space-group type is P4/mmm (123). The formation energy from the elements is -65 meV/atom.



Record 6
First-principles (GGA-PBE) data for crystalline MnAg2Pd2 at its relaxed geometry, as listed in Alexandria via LeMat-Bulk.

Geometry as POSCAR:
```
MnAg2Pd2
1.0
-0.527 3.635 -0.439
0.633 -0.346 -3.628
-6.657 -2.729 0.985
Pd Ag Mn
2 2 1
Direct
0.595 0.595 0.190 Pd
0.405 0.405 0.810 Pd
0.750 0.250 0.500 Ag
0.250 0.750 0.500 Ag
0.000 0.000 0.000 Mn
```

The value obtained for the volume is 18.54 A^3/atom. Its space-group type is I4/mmm (139). The formation energy from the elements is 262 meV/atom. The value obtained for the energy relative to the lowest polymorph listed for this composition is 160 meV per atom.



Record 7
First-principles (GGA-PBE) data for crystalline Mn3AgPd4 at its relaxed geometry, as listed in Alexandria via LeMat-Bulk.

Geometry as POSCAR:
```
Mn3AgPd4
1.0
3.554 0.000 0.000
0.000 4.183 0.000
0.000 0.000 8.334
Pd Mn Ag
4 3 1
Direct
0.000 0.000 0.000 Pd
0.000 0.500 0.259 Pd
0.000 0.500 0.741 Pd
0.000 0.000 0.500 Pd
0.500 0.000 0.247 Mn
0.500 0.000 0.753 Mn
0.500 0.500 0.500 Mn
0.500 0.500 0.000 Ag
```

The value obtained for the volume is 15.49 A^3/atom. Its space-group type is Pmmm (47). The formation energy from the elements is -178 meV/atom.



Record 8
First-principles (GGA-PBE) data for crystalline MnAgPd3 at its relaxed geometry, as listed in Alexandria via LeMat-Bulk.

Geometry as POSCAR:
```
MnAgPd3
1.0
4.881 0.000 0.000
0.000 4.881 0.000
0.000 0.000 4.881
Pd Mn Ag
3 1 1
Direct
0.000 0.000 0.500 Pd
0.000 0.500 0.000 Pd
0.500 0.000 0.000 Pd
0.500 0.500 0.500 Mn
0.000 0.000 0.000 Ag
```

The value obtained for the volume is 23.25 A^3/atom. Its space-group type is Pm-3m (221). The formation energy from the elements is 1127 meV/atom. The value obtained for the energy relative to the lowest polymorph listed for this composition is 1256 meV per atom.



Record 9
First-principles (GGA-PBE) data for crystalline Mn3AgPd at its relaxed geometry, as listed in Alexandria via LeMat-Bulk.

Geometry as POSCAR:
```
Mn3AgPd
1.0
4.831 0.000 0.000
0.000 4.831 0.000
0.000 0.000 4.831
Mn Ag Pd
3 1 1
Direct
0.000 0.500 0.000 Mn
0.000 0.000 0.500 Mn
0.500 0.000 0.000 Mn
0.500 0.500 0.500 Ag
0.000 0.000 0.000 Pd
```

The value obtained for the volume is 22.55 A^3/atom. Its space-group type is Pm-3m (221). The formation energy from the elements is 875 meV/atom. The value obtained for the energy relative to the lowest polymorph listed for this composition is 0 meV per atom.



Record 10
First-principles (GGA-PBE) data for crystalline MnAgPd6 at its relaxed geometry, as listed in Alexandria via LeMat-Bulk.

Geometry as POSCAR:
```
MnAgPd6
1.0
5.439 -0.749 -0.848
-1.339 5.325 -0.848
-1.339 -1.494 5.181
Pd Ag Mn
6 1 1
Direct
0.748 0.748 0.260 Pd
0.740 0.252 0.252 Pd
0.748 0.260 0.748 Pd
0.252 0.740 0.252 Pd
0.252 0.252 0.740 Pd
0.260 0.748 0.748 Pd
0.000 0.000 0.000 Ag
0.500 0.500 0.500 Mn
```

The value obtained for the volume is 16.17 A^3/atom. Its space-group type is R-3m (166). The formation energy from the elements is 65 meV/atom. The value obtained for the energy relative to the lowest polymorph listed for this composition is 182 meV per atom.



Record 11
First-principles (GGA-PBE) data for crystalline MnAg5Pd6 at its relaxed geometry, as listed in Alexandria via LeMat-Bulk.

Geometry as POSCAR:
```
MnAg5Pd6
1.0
0.194 -0.032 4.087
2.430 -7.418 -0.174
5.894 1.889 1.783
Ag Pd Mn
5 6 1
Direct
0.666 0.500 0.667 Ag
0.334 0.500 0.333 Ag
0.000 0.500 0.000 Ag
0.667 0.000 0.665 Ag
0.333 0.000 0.335 Ag
0.836 0.755 0.327 Pd
0.164 0.245 0.673 Pd
0.164 0.755 0.673 Pd
0.500 0.239 0.000 Pd
0.500 0.761 0.000 Pd
0.836 0.245 0.327 Pd
0.000 0.000 0.000 Mn
```

The value obtained for the volume is 16.26 A^3/atom. Its space-group type is Cmmm (65). The formation energy from the elements is -67 meV/atom.



Record 12
First-principles (GGA-PBE) data for crystalline MnAg5Pd4 at its relaxed geometry, as listed in Alexandria via LeMat-Bulk.

Geometry as POSCAR:
```
MnAg5Pd4
1.0
4.094 0.000 -0.992
-0.635 6.229 -2.622
-0.374 -0.729 7.400
Mn Pd Ag
1 4 5
Direct
0.500 0.000 0.000 Mn
0.020 0.806 0.039 Pd
0.673 0.941 0.346 Pd
0.327 0.059 0.654 Pd
0.980 0.194 0.961 Pd
0.157 0.624 0.314 Ag
0.500 0.500 0.000 Ag
0.190 0.253 0.379 Ag
0.843 0.376 0.686 Ag
0.810 0.747 0.621 Ag
```

The value obtained for the volume is 17.81 A^3/atom. Its space-group type is C2/m (12). The formation energy from the elements is 40 meV/atom.



Record 13
First-principles (GGA-PBE) data for crystalline MnAg2Pd6 at its relaxed geometry, as listed in Alexandria via LeMat-Bulk.

Geometry as POSCAR:
```
MnAg2Pd6
1.0
2.765 0.000 0.000
0.000 7.772 0.000
0.000 -3.886 6.731
Pd Ag Mn
6 2 1
Direct
0.771 0.676 0.000 Pd
0.771 0.000 0.676 Pd
0.229 0.000 0.324 Pd
0.229 0.676 0.676 Pd
0.771 0.324 0.324 Pd
0.229 0.324 0.000 Pd
0.500 0.333 0.667 Ag
0.500 0.667 0.333 Ag
0.000 0.000 0.000 Mn
```

The value obtained for the volume is 16.07 A^3/atom. Its space-group type is P-31m (162). The formation energy from the elements is 0 meV/atom. The value obtained for the energy relative to the lowest polymorph listed for this composition is 0 meV per atom.